A relaxed ReAs crystal. Source: Alexandria via LeMat-Bulk, functional PBE.

Properties
E = -31.37 eV for the cell shown
magnetization = 0.0 μB/f.u.
relative energy among the computed polymorphs = 631 meV/atom
energy of formation = 0.71 eV/atom

Cell lengths 3.038, 5.126, 4.081 Å; angles 90.00, 90.00, 90.00 degrees
Space group Cmmm (No. 65)
One atom of each set of equivalent atoms:
Re: 0.000 0.000 0.000
As: 0.000 0.500 0.500